(1)
{"formula": "NiB3Ir", "functional": "PBE-GGA", "state": "optimized geometry", "total_magnetization_mub_per_atom": 0.000, "energy_ev_per_cell": -28.6, "ef_ev_per_atom": 1.208, "cell": [[3.720, 0.000, 0.000], [0.000, 3.720, 0.000], [0.000, 0.000, 3.720]], "species": ["Ni", "B", "B", "B", "Ir"], "frac_coords": [[0.000, 0.000, 0.000], [0.000, 0.000, 0.500], [0.000, 0.500, 0.000], [0.500, 0.000, 0.000], [0.500, 0.500, 0.500]]}

(2)
{"formula": "NiBIr2", "functional": "PBE-GGA", "state": "optimized geometry", "total_magnetization_mub_per_atom": 0.000, "energy_ev_per_cell": -88.9, "ef_ev_per_atom": 0.140, "cell": [[3.570, 0.000, 0.000], [-1.785, 3.092, 0.000], [0.000, 0.000, 13.763]], "species": ["Ni", "Ni", "Ni", "B", "B", "B", "Ir", "Ir", "Ir", "Ir", "Ir", "Ir"], "frac_coords": [[0.000, 0.000, 0.000], [0.333, 0.667, 0.667], [0.667, 0.333, 0.333], [0.000, 0.000, 0.841], [0.333, 0.667, 0.507], [0.667, 0.333, 0.174], [0.000, 0.000, 0.232], [0.000, 0.000, 0.434], [0.333, 0.667, 0.100], [0.333, 0.667, 0.898], [0.667, 0.333, 0.565], [0.667, 0.333, 0.767]]}

(3)
{"formula": "Ni2B3Ir2", "functional": "PBE-GGA", "state": "optimized geometry", "total_magnetization_mub_per_atom": 0.000, "energy_ev_per_cell": -98.6, "ef_ev_per_atom": -0.001, "cell": [[10.028, 0.000, 0.000], [0.000, 3.307, 0.000], [-1.081, 0.000, 5.208]], "species": ["Ni", "Ni", "Ni", "Ni", "B", "B", "B", "B", "B", "B", "Ir", "Ir", "Ir", "Ir"], "frac_coords": [[0.186, 0.000, 0.350], [0.314, 0.500, 0.650], [0.686, 0.500, 0.350], [0.814, 0.000, 0.650], [0.000, 0.000, 0.000], [0.215, 0.000, 0.732], [0.285, 0.500, 0.268], [0.500, 0.500, 0.000], [0.715, 0.500, 0.732], [0.785, 0.000, 0.268], [0.125, 0.500, 0.951], [0.375, 0.000, 0.049], [0.625, 0.000, 0.951], [0.875, 0.500, 0.049]]}

(4)
{"formula": "Ni2B2Ir", "functional": "PBE-GGA", "state": "optimized geometry", "total_magnetization_mub_per_atom": 0.000, "energy_ev_per_cell": -68.6, "ef_ev_per_atom": -0.103, "cell": [[5.718, 0.000, 0.000], [0.000, 5.718, 0.000], [0.000, 0.000, 2.901]], "species": ["Ni", "Ni", "Ni", "Ni", "B", "B", "B", "B", "Ir", "Ir"], "frac_coords": [[0.156, 0.344, 0.000], [0.344, 0.844, 0.000], [0.656, 0.156, 0.000], [0.844, 0.656, 0.000], [0.120, 0.620, 0.500], [0.380, 0.120, 0.500], [0.620, 0.880, 0.500], [0.880, 0.380, 0.500], [0.000, 0.000, 0.500], [0.500, 0.500, 0.500]]}

(5)
{"formula": "NiB3Ir", "functional": "PBE-GGA", "state": "optimized geometry", "total_magnetization_mub_per_atom": 0.000, "energy_ev_per_cell": -28.9, "ef_ev_per_atom": 1.146, "cell": [[4.037, 0.000, 0.000], [0.000, 4.037, 0.000], [0.000, 0.000, 4.037]], "species": ["Ni", "B", "B", "B", "Ir"], "frac_coords": [[0.000, 0.000, 0.000], [0.000, 0.500, 0.500], [0.500, 0.000, 0.500], [0.500, 0.500, 0.000], [0.500, 0.500, 0.500]]}

(6)
{"formula": "NiBIr2", "functional": "PBE-GGA", "state": "optimized geometry", "total_magnetization_mub_per_atom": 0.000, "energy_ev_per_cell": -122.4, "ef_ev_per_atom": -0.106, "cell": [[5.307, 0.000, 0.000], [0.000, 5.605, 0.000], [0.000, 0.000, 6.385]], "species": ["Ni", "Ni", "Ni", "Ni", "B", "B", "B", "B", "Ir", "Ir", "Ir", "Ir", "Ir", "Ir", "Ir", "Ir"], "frac_coords": [[0.012, 0.250, 0.003], [0.488, 0.750, 0.503], [0.512, 0.250, 0.497], [0.988, 0.750, 0.997], [0.147, 0.250, 0.606], [0.353, 0.750, 0.106], [0.647, 0.250, 0.894], [0.853, 0.750, 0.394], [0.142, 0.006, 0.319], [0.142, 0.494, 0.319], [0.358, 0.506, 0.819], [0.358, 0.994, 0.819], [0.642, 0.006, 0.181], [0.642, 0.494, 0.181], [0.858, 0.506, 0.681], [0.858, 0.994, 0.681]]}

(7)
{"formula": "NiBIr2", "functional": "PBE-GGA", "state": "optimized geometry", "total_magnetization_mub_per_atom": 0.000, "energy_ev_per_cell": -110.2, "ef_ev_per_atom": 0.658, "cell": [[4.629, 0.000, 0.000], [0.000, 4.629, 0.000], [0.000, 0.000, 11.485]], "species": ["Ni", "Ni", "Ni", "Ni", "B", "B", "B", "B", "Ir", "Ir", "Ir", "Ir", "Ir", "Ir", "Ir", "Ir"], "frac_coords": [[0.000, 0.000, 0.000], [0.000, 0.500, 0.250], [0.500, 0.000, 0.750], [0.500, 0.500, 0.500], [0.000, 0.000, 0.500], [0.000, 0.500, 0.750], [0.500, 0.000, 0.250], [0.500, 0.500, 0.000], [0.183, 0.250, 0.625], [0.250, 0.683, 0.875], [0.250, 0.817, 0.375], [0.317, 0.250, 0.125], [0.683, 0.750, 0.125], [0.750, 0.183, 0.375], [0.750, 0.317, 0.875], [0.817, 0.750, 0.625]]}

(8)
{"formula": "NiBIr2", "functional": "PBE-GGA", "state": "optimized geometry", "total_magnetization_mub_per_atom": 0.001, "energy_ev_per_cell": -30.1, "ef_ev_per_atom": 0.032, "cell": [[2.730, 0.000, 0.000], [0.000, 2.730, 0.000], [0.000, 0.000, 6.225]], "species": ["Ni", "B", "Ir", "Ir"], "frac_coords": [[0.000, 0.000, 0.000], [0.000, 0.000, 0.500], [0.500, 0.500, 0.290], [0.500, 0.500, 0.710]]}

(9)
{"formula": "NiB3Ir3", "functional": "PBE-GGA", "state": "optimized geometry", "total_magnetization_mub_per_atom": 0.000, "energy_ev_per_cell": -107.4, "ef_ev_per_atom": -0.186, "cell": [[3.151, 1.819, 4.547], [-3.151, 1.819, 4.547], [0.000, -3.638, 4.547]], "species": ["Ni", "Ni", "B", "B", "B", "B", "B", "B", "Ir", "Ir", "Ir", "Ir", "Ir", "Ir"], "frac_coords": [[0.171, 0.171, 0.171], [0.829, 0.829, 0.829], [0.057, 0.796, 0.438], [0.204, 0.562, 0.943], [0.438, 0.057, 0.796], [0.562, 0.943, 0.204], [0.796, 0.438, 0.057], [0.943, 0.204, 0.562], [0.105, 0.390, 0.704], [0.296, 0.895, 0.610], [0.390, 0.704, 0.105], [0.610, 0.296, 0.895], [0.704, 0.105, 0.390], [0.895, 0.610, 0.296]]}

(10)
{"formula": "Ni3B2Ir", "functional": "PBE-GGA", "state": "optimized geometry", "total_magnetization_mub_per_atom": 0.000, "energy_ev_per_cell": -81.6, "ef_ev_per_atom": -0.211, "cell": [[5.956, -1.542, 0.000], [5.956, 1.542, 0.000], [-2.791, 0.000, 6.777]], "species": ["Ni", "Ni", "Ni", "Ni", "Ni", "Ni", "B", "B", "B", "B", "Ir", "Ir"], "frac_coords": [[0.078, 0.078, 0.197], [0.208, 0.208, 0.577], [0.297, 0.297, 0.920], [0.703, 0.703, 0.080], [0.792, 0.792, 0.423], [0.922, 0.922, 0.803], [0.112, 0.112, 0.920], [0.386, 0.386, 0.583], [0.614, 0.614, 0.417], [0.888, 0.888, 0.080], [0.425, 0.425, 0.298], [0.575, 0.575, 0.702]]}

(11)
{"formula": "NiBIr3", "functional": "PBE-GGA", "state": "optimized geometry", "total_magnetization_mub_per_atom": 0.375, "energy_ev_per_cell": -37.7, "ef_ev_per_atom": 0.278, "cell": [[4.067, 0.000, 0.000], [0.000, 4.067, 0.000], [0.000, 0.000, 4.067]], "species": ["Ni", "B", "Ir", "Ir", "Ir"], "frac_coords": [[0.000, 0.000, 0.000], [0.500, 0.500, 0.500], [0.000, 0.500, 0.500], [0.500, 0.000, 0.500], [0.500, 0.500, 0.000]]}

(12)
{"formula": "Ni3B4Ir3", "functional": "PBE-GGA", "state": "optimized geometry", "total_magnetization_mub_per_atom": 0.000, "energy_ev_per_cell": -71.7, "ef_ev_per_atom": -0.108, "cell": [[2.775, 0.000, 0.000], [0.000, 4.016, 4.486], [0.000, -4.016, 4.486]], "species": ["Ni", "Ni", "Ni", "B", "B", "B", "B", "Ir", "Ir", "Ir"], "frac_coords": [[0.000, 0.000, 0.000], [0.500, 0.311, 0.809], [0.500, 0.809, 0.311], [0.500, 0.177, 0.177], [0.500, 0.473, 0.473], [0.500, 0.732, 0.979], [0.500, 0.979, 0.732], [0.000, 0.151, 0.483], [0.000, 0.483, 0.151], [0.000, 0.697, 0.697]]}

(13)
{"formula": "NiB2Ir2", "functional": "PBE-GGA", "state": "optimized geometry", "total_magnetization_mub_per_atom": 0.000, "energy_ev_per_cell": -74.2, "ef_ev_per_atom": -0.049, "cell": [[6.229, 0.000, 0.000], [0.000, 6.229, 0.000], [0.000, 0.000, 2.706]], "species": ["Ni", "Ni", "B", "B", "B", "B", "Ir", "Ir", "Ir", "Ir"], "frac_coords": [[0.000, 0.000, 0.000], [0.500, 0.500, 0.000], [0.146, 0.354, 0.000], [0.354, 0.854, 0.000], [0.646, 0.146, 0.000], [0.854, 0.646, 0.000], [0.155, 0.655, 0.500], [0.345, 0.155, 0.500], [0.655, 0.845, 0.500], [0.845, 0.345, 0.500]]}

(14)
{"formula": "Np2NiB2Ir5", "functional": "PBE-GGA", "state": "optimized geometry", "total_magnetization_mub_per_atom": 0.460, "energy_ev_per_cell": -184.7, "ef_ev_per_atom": -0.302, "cell": [[9.134, 0.000, 0.000], [0.000, 9.134, 0.000], [0.000, 0.000, 3.453]], "species": ["Np", "Np", "Np", "Np", "Ni", "Ni", "B", "B", "B", "B", "Ir", "Ir", "Ir", "Ir", "Ir", "Ir", "Ir", "Ir", "Ir", "Ir"], "frac_coords": [[0.178, 0.322, 0.000], [0.322, 0.822, 0.000], [0.678, 0.178, 0.000], [0.822, 0.678, 0.000], [0.000, 0.000, 0.000], [0.500, 0.500, 0.000], [0.123, 0.623, 0.000], [0.377, 0.123, 0.000], [0.623, 0.877, 0.000], [0.877, 0.377, 0.000], [0.000, 0.500, 0.500], [0.071, 0.788, 0.500], [0.212, 0.071, 0.500], [0.288, 0.571, 0.500], [0.429, 0.288, 0.500], [0.500, 0.000, 0.500], [0.571, 0.712, 0.500], [0.712, 0.429, 0.500], [0.788, 0.929, 0.500], [0.929, 0.212, 0.500]]}